[1]
NaAc2PmTe4 | PBE | relaxed

Output
formation energy without anion corrections = -11.4 eV per formula unit

Unit cell a=4.6318 b=7.9174 c=8.1180 alpha=70.47 beta=90.00 gamma=90.00
With the nearest neighbours (Å) after each atom.
Positions (direct):
Na (0.5000, 0.5000, 0.0000)  6 Te 3.20-3.22
Ac (0.0000, 0.0000, 0.0000)  6 Te 3.34-3.35
Ac (0.5000, 0.0000, 0.5000)  6 Te 3.33-3.35
Pm (0.0000, 0.5000, 0.5000)  6 Te 3.20-3.21
Te (0.0000, 0.7351, 0.7537)  1 Pm 3.20, 2 Na 3.22, 3 Ac 3.33-3.35
Te (0.0000, 0.2649, 0.2463)  1 Pm 3.20, 2 Na 3.22, 3 Ac 3.33-3.35
Te (0.5000, 0.7333, 0.2549)  1 Na 3.20, 2 Pm 3.21, 3 Ac 3.34-3.35
Te (0.5000, 0.2667, 0.7451)  1 Na 3.20, 2 Pm 3.21, 3 Ac 3.34-3.35



[2]
SmPa5As6 | PBE | relaxed

Output
formation energy = -1.130 eV per atom

Unit cell a=7.1171 b=7.1186 c=7.1186 alpha=60.00 beta=80.40 gamma=70.51
With the nearest neighbours (Å) after each atom.
Positions (direct):
As (0.7476, 0.0843, 0.3366)  5 Pa 2.90-2.91, 1 Sm 2.93
As (0.2524, 0.5791, 0.3366)  5 Pa 2.90-2.91, 1 Sm 2.93
As (0.2501, 0.2535, 0.0000)  5 Pa 2.89-2.90, 1 Sm 2.93
As (0.7499, 0.7465, 0.0000)  5 Pa 2.89-2.90, 1 Sm 2.93
As (0.7476, 0.4209, 0.6634)  5 Pa 2.90-2.91, 1 Sm 2.93
As (0.2524, 0.9157, 0.6634)  5 Pa 2.90-2.91, 1 Sm 2.93
Pa (0.5000, 0.1643, 0.6715)  6 As 2.89-2.91
Pa (0.0000, 0.3329, 0.3341)  6 As 2.90-2.91
Pa (0.5000, 0.5000, 0.0000)  6 As 2.89-2.91
Pa (0.0000, 0.6671, 0.6659)  6 As 2.90-2.91
Pa (0.5000, 0.8357, 0.3285)  6 As 2.89-2.91
Sm (0.0000, 0.0000, 0.0000)  6 As 2.93



[3]
LaSmEu | PBE | relaxed

Output
formation energy = 0.034 eV per atom

Unit cell a=3.7514 b=3.7514 c=8.3779 alpha=102.94 beta=102.94 gamma=90.00
With the nearest neighbours (Å) after each atom.
Positions (direct):
Eu (0.0023, 0.0023, 0.0045)  4 Eu 3.75, 4 Sm 3.78, 4 La 3.86
Sm (0.6718, 0.6718, 0.3436)  4 La 3.61, 4 Sm 3.75, 4 Eu 3.78
La (0.3260, 0.3260, 0.6519)  4 Sm 3.61, 4 La 3.75, 4 Eu 3.86



[4]
BeCoNiBr2 | PBE | relaxed

Output
formation energy without anion corrections = 4.8 eV per formula unit

Unit cell a=4.6715 b=4.1472 c=4.6715 alpha=90.00 beta=90.00 gamma=90.00
With the nearest neighbours (Å) after each atom.
Positions (direct):
Ni (0.5000, 0.5000, 0.5000)  8 Br 3.12, 4 Co 3.30
Co (0.0000, 0.5000, 0.0000)  2 Be 2.07
Br (0.0000, 0.0000, 0.5000)  2 Be 2.34
Br (0.5000, 0.0000, 0.0000)  2 Be 2.34
Be (0.0000, 0.0000, 0.0000)  2 Co 2.07